Entry 1:
# CdSbSe2N

CdSbSe2N after structural relaxation (PBE, Alexandria).

POSCAR file:
```
CdSbSe2N
1.0
5.387 0.000 0.000
0.000 5.387 0.000
0.000 0.000 4.133
Se N Sb Cd
2 1 1 1
direct
0.000 0.500 0.000
0.500 0.000 0.000
0.000 0.000 0.500
0.500 0.500 0.500
0.000 0.000 0.000
```

Values from the calculation:
Total energy   -15.68 eV per cell
Energy relative to the lowest polymorph listed for this composition   303 meV/atom
Formation energy from raw total energies   930.4 meV per atom

***

Entry 2:
# CoTcSb2I

CoTcSb2I after structural relaxation (PBE, Alexandria).

POSCAR file:
```
CoTcSb2I
1.0
-0.015 4.837 -0.491
-3.396 0.341 3.463
3.832 0.390 3.720
Sb I Co Tc
2 1 1 1
direct
0.500 0.000 0.000
0.000 0.500 0.000
0.000 0.000 0.500
0.000 0.000 0.000
0.500 0.500 0.500
```

Values from the calculation:
Total energy   -22.15 eV per cell
Energy relative to the lowest polymorph listed for this composition   0 meV/atom
Formation energy from raw total energies   1022.9 meV per atom

***

Entry 3:
# SrZnSn

SrZnSn after structural relaxation (PBE, Alexandria).

POSCAR file:
```
SrZnSn
1.0
-3.803 2.264 1.822
-2.427 -3.889 -0.234
2.400 0.983 3.788
Zn Sn Sr
1 1 1
direct
0.167 0.000 0.000
0.166 0.333 0.667
0.666 0.667 0.333
```

Values from the calculation:
Total energy   -8.43 eV per cell
ΔH_f (0 K)   -47 kJ per mole of atoms

***

Entry 4:
# ZnPtAu2

ZnPtAu2 after structural relaxation (PBE, Alexandria).

POSCAR file:
```
ZnPtAu2
1.0
5.017 0.003 0.028
4.144 2.828 0.028
1.276 0.394 4.675
Au Zn Pt
2 1 1
direct
0.753 0.753 0.748
0.986 0.986 0.007
0.245 0.245 0.260
0.516 0.516 0.486
```

Values from the calculation:
Total energy   -14.55 eV per cell
ΔH_f (0 K)   -16 kJ per mole of atoms